Compound: Cr3PbF
Source: Alexandria
Functional: PBE+U
Structure: relaxed

Geometry as POSCAR:
```
Cr3PbF
1.0
-2.6092 3.7403 -0.6334
-3.6597 -2.6842 -0.7753
-0.9991 0.0641 4.4941
Pb Cr F
1 3 1
direct
0.5000 0.5000 0.5000
0.0000 0.5000 0.0000
0.0000 0.0000 0.5000
0.5000 0.0000 0.0000
0.0000 0.0000 0.0000
```

Density of states at the Fermi level (states/eV per cell): 1.81
Uncorrected energy (eV per atom): -5.747